# NaPuPbAu PBE relaxed
data_NaPuPbAu
_chemical_formula_sum 'Na1 Pu1 Pb1 Au1'
_cell_length_a 3.3715
_cell_length_b 3.3715
_cell_length_c 9.0021
_cell_angle_alpha 90.00
_cell_angle_beta 90.00
_cell_angle_gamma 90.00
_space_group_name_H-M_alt 'P 4 m m'
_space_group_IT_number 99
loop_
_space_group_symop_operation_xyz
'x,y,z'
'-y,x,z'
'-x,-y,z'
'y,-x,z'
'-x,y,z'
'y,x,z'
'x,-y,z'
'-y,-x,z'
loop_
_atom_site_label
_atom_site_fract_x
_atom_site_fract_y
_atom_site_fract_z
_atom_site_occupancy
Na1 0.0000 0.0000 0.0000 1
Pu1 0.0000 0.0000 0.5549 1
Pb1 0.5000 0.5000 0.2737 1
Au1 0.5000 0.5000 0.7749 1
# **Formation enthalpy at 0 K**: -251 meV per atom
# **Excess energy over the best structure of this formula in the dataset**: 0.0000 eV per atom
# **DOS at the Fermi energy**: 2.3889 states/eV per atom